1.
VASP calculation (GGA-PBE) on a geometry-optimized CuSi2SnRu structure.

Calculated values
calculated volume: 108 Å³ per cell
density: 5.2 g/cm3

Unit cell a=4.5097 b=4.5097 c=5.3235 alpha=90.00 beta=90.00 gamma=90.00
Closest atoms and distances in Å follow each position.
Fractional positions:
Cu 0.0000 0.0000 0.0000  4 Sn 3.19, 8 Si 3.49
Si 0.0000 0.5000 0.5000  2 Ru 2.25
Si 0.5000 0.0000 0.5000  2 Ru 2.25
Sn 0.5000 0.5000 0.0000  2 Ru 2.66
Ru 0.5000 0.5000 0.5000  4 Si 2.25

***

2.
VASP calculation (GGA-PBE) on a geometry-optimized Cu2SiSnRu structure.

Calculated values
calculated volume: 112 Å³ per cell
density: 5.5 g/cm3

Unit cell a=4.6931 b=4.6931 c=5.0987 alpha=90.00 beta=90.00 gamma=90.00
Closest atoms and distances in Å follow each position.
Fractional positions:
Cu 0.0000 0.5000 0.0000  2 Sn 2.35
Cu 0.5000 0.0000 0.0000  2 Sn 2.35
Si 0.0000 0.0000 0.5000  2 Sn 2.55
Sn 0.0000 0.0000 0.0000  4 Cu 2.35, 2 Si 2.55
Ru 0.5000 0.5000 0.5000  4 Si 3.32, 8 Cu 3.46

***

Values of E_form (uncorrected), in order: 46.0; 149.8, all in kJ per mole of atoms.
Values of calculated total energy, in order: -25.835; -19.132, all in eV/cell.